1.
# Rb2CaTiS (PBE-GGA, relaxed)
# **SG**: P4/mmm
# **Density**: 2.15 Mg/m³
# **DOS at the Fermi energy**: 1.460 states/eV/atom
# **Formation energy (no corrections)**: 11.8 kJ/mol of atoms
data_Rb2CaTiS
_cell_length_a 6.4801
_cell_length_b 6.4801
_cell_length_c 5.3558
_cell_angle_alpha 90.00
_cell_angle_beta 90.00
_cell_angle_gamma 90.00
_space_group_name_H-M_alt 'P 1'
_space_group_IT_number 1
_space_group_name_Hall 'P 1'
loop_
_atom_site_label
_atom_site_type_symbol
_atom_site_fract_x
_atom_site_fract_y
_atom_site_fract_z
Rb1 Rb 0.0000 0.5000 0.0000
Rb2 Rb 0.5000 0.0000 0.0000
Ca1 Ca 0.0000 0.0000 0.5000
Ti1 Ti 0.5000 0.5000 0.5000
S1 S 0.0000 0.0000 0.0000

2.
# KTaNi2 (PBE-GGA, relaxed)
# **E_form**: 0.567 eV/atom
# **SG**: Cm
# **Density**: 6.34 Mg/m³
# **Offset from the most stable computed form**: 0.387 eV/atom
# **DOS at the Fermi energy**: 0.880 states/eV/atom
data_KTaNi2
_cell_length_a 4.5593
_cell_length_b 4.5593
_cell_length_c 6.7713
_cell_angle_alpha 97.61
_cell_angle_beta 97.61
_cell_angle_gamma 39.40
_space_group_name_H-M_alt 'P 1'
_space_group_IT_number 1
_space_group_name_Hall 'P 1'
loop_
_atom_site_label
_atom_site_type_symbol
_atom_site_fract_x
_atom_site_fract_y
_atom_site_fract_z
K1 K 0.0000 0.0000 0.0000
Ta1 Ta 0.7996 0.7996 0.4309
Ni1 Ni 0.2332 0.2332 0.6753
Ni2 Ni 0.5197 0.5197 0.5250

3.
# Tb3Pm2Tm5 (PBE-GGA, relaxed)
# **E_form**: 0.194 eV/atom
# **SG**: C2/c
# **Density**: 8.28 Mg/m³
# **Offset from the most stable computed form**: 0.172 eV/atom
# **DOS at the Fermi energy**: 1.739 states/eV/atom
data_Tb3Pm2Tm5
_cell_length_a 9.4828
_cell_length_b 9.4828
_cell_length_c 9.3735
_cell_angle_alpha 108.09
_cell_angle_beta 108.09
_cell_angle_gamma 112.48
_space_group_name_H-M_alt 'P 1'
_space_group_IT_number 1
_space_group_name_Hall 'P 1'
loop_
_atom_site_label
_atom_site_type_symbol
_atom_site_fract_x
_atom_site_fract_y
_atom_site_fract_z
Tb1 Tb 0.0365 0.2787 0.0494
Tb2 Tb 0.2281 0.7719 0.7500
Tb3 Tb 0.2787 0.0365 0.5494
Tb4 Tb 0.7213 0.9635 0.4506
Tb5 Tb 0.7719 0.2281 0.2500
Tb6 Tb 0.9635 0.7213 0.9506
Pm1 Pm 0.2323 0.4831 0.4518
Pm2 Pm 0.4831 0.2323 0.9518
Pm3 Pm 0.5169 0.7677 0.0482
Pm4 Pm 0.7677 0.5169 0.5482
Tm1 Tm 0.0271 0.9729 0.7500
Tm2 Tm 0.1151 0.3504 0.7209
Tm3 Tm 0.2683 0.7317 0.2500
Tm4 Tm 0.3504 0.1151 0.2209
Tm5 Tm 0.4779 0.5221 0.2500
Tm6 Tm 0.5221 0.4779 0.7500
Tm7 Tm 0.6496 0.8849 0.7791
Tm8 Tm 0.7317 0.2683 0.7500
Tm9 Tm 0.8849 0.6496 0.2791
Tm10 Tm 0.9729 0.0271 0.2500

Q: Look up the DOS at the Fermi energy of the first one.
A: 1.460 states/eV/atom

Q: Among the records above, which one has the lowest DOS at the Fermi energy?
A: KTaNi2